# 1
! MnReP (GGA-PBE, optimized geometry); values from VASP
&SYSTEM
  ibrav = 0, nat = 3, ntyp = 3
/
ATOMIC_SPECIES
Re 186.21 Re.upf
P 30.97 P.upf
Mn 54.94 Mn.upf
CELL_PARAMETERS angstrom
-2.354 1.398 0.349
0.237 -2.569 0.980
1.987 2.094 5.009
ATOMIC_POSITIONS crystal
Re 0.333 0.667 0.663
P 0.667 0.333 0.316
Mn 0.000 0.000 0.021
! Energy relative to the lowest polymorph listed for this composition (meV per atom): 170.4
! Energy of formation from the pure elements (eV per atom): 0.01

***

# 2
! Mn2ReP2 (GGA-PBE, optimized geometry); values from VASP
&SYSTEM
  ibrav = 0, nat = 10, ntyp = 3
/
ATOMIC_SPECIES
Re 186.21 Re.upf
Mn 54.94 Mn.upf
P 30.97 P.upf
CELL_PARAMETERS angstrom
-5.137 -0.032 -4.094
-4.019 -1.211 5.052
-0.322 2.669 0.383
ATOMIC_POSITIONS crystal
Re 0.000 0.000 0.000
Mn 0.857 0.357 0.500
Mn 0.143 0.643 0.500
Re 0.500 0.500 0.000
P 0.844 0.656 0.000
P 0.156 0.344 0.000
P 0.656 0.156 0.000
Mn 0.357 0.143 0.500
P 0.344 0.844 0.000
Mn 0.643 0.857 0.500
! Energy of formation from the pure elements (eV per atom): -0.20